[1]
Hf2Ga2Pd | the Alexandria database | PBE-GGA | optimized geometry; space-group type = C2/m; energy of formation = -0.5886 eV/atom; distance to the lowest polymorph of the same formula = 0.049 eV per atom
1.0
-1.0399 1.5116 3.7270
3.7137 -1.2287 3.8496
4.3587 7.6731 0.4191
Hf Ga Pd
4 4 2
Direct
0.3215 0.2577 0.0992
0.4977 0.3246 0.6799
0.6785 0.7423 0.9008
0.5023 0.6754 0.3201
0.9652 0.1837 0.8860
0.1365 0.2964 0.4305
0.0348 0.8163 0.1140
0.8635 0.7036 0.5695
0.7816 0.0881 0.3488
0.2184 0.9119 0.6512

[2]
Sr8Zn2Ag | the Alexandria database | PBE-GGA | optimized geometry; space-group type = C2/m; energy of formation = -0.0794 eV/atom; distance to the lowest polymorph of the same formula = 0.000 eV per atom
1.0
-4.6729 -3.1817 -0.4510
3.6523 -5.8911 3.7169
-2.1895 7.1880 7.6331
Sr Zn Ag
8 2 1
Direct
0.4066 0.5541 0.8132
0.6672 0.9723 0.3345
0.7909 0.6737 0.5817
0.9651 0.2065 0.9302
0.2091 0.3263 0.4183
0.3328 0.0277 0.6655
0.5934 0.4459 0.1868
0.0349 0.7935 0.0698
0.8138 0.2786 0.6277
0.1862 0.7214 0.3723
0.5000 0.0000 0.0000

[3]
BaTaHg2 | the Alexandria database | PBE-GGA | optimized geometry; space-group type = I-42d; energy of formation = 0.6599 eV/atom
1.0
-2.9887 2.7594 3.9402
1.2728 -4.0199 3.7806
6.4595 3.9139 6.2286
Ba Hg Ta
2 4 2
Direct
0.5000 0.5000 0.0000
0.2500 0.7500 0.5000
0.7494 0.1250 0.2500
0.0006 0.6250 0.2500
0.3750 0.2506 0.7500
0.8750 0.9994 0.7500
0.0000 0.0000 0.0000
0.7500 0.2500 0.5000

[4]
Si2Ag | the Alexandria database | PBE-GGA | optimized geometry; space-group type = Pa-3; raw formation energy = 0.56 eV per atom; distance to the lowest polymorph of the same formula = 0.250 eV per atom
1.0
-2.4776 -3.0687 4.6361
3.9679 -4.5313 -0.8788
3.8944 2.6645 3.8449
Si Ag
8 4
Direct
0.6123 0.6123 0.3877
0.3877 0.3877 0.6123
0.1123 0.8877 0.6123
0.8877 0.1123 0.3877
0.3877 0.1123 0.1123
0.6123 0.8877 0.8877
0.8877 0.3877 0.8877
0.1123 0.6123 0.1123
0.0000 0.0000 0.0000
0.5000 0.5000 0.0000
0.5000 0.0000 0.5000
0.0000 0.5000 0.5000

[5]
Ac2ErAl | the Alexandria database | PBE-GGA | optimized geometry; space-group type = Fm-3m; energy of formation = 0.0208 eV/atom; distance to the lowest polymorph of the same formula = 0.064 eV per atom
1.0
-3.7875 -4.3047 -0.3455
-0.9661 -3.3490 4.5658
-5.0004 0.3419 2.8061
Ac Al Er
2 1 1
Direct
0.2500 0.2500 0.2500
0.7500 0.7500 0.7500
0.5000 0.5000 0.5000
0.0000 0.0000 0.0000

[6]
LiTiCl3 | the Alexandria database | PBE-GGA | optimized geometry; space-group type = Cm; raw formation energy = -1.50 eV per atom; distance to the lowest polymorph of the same formula = 0.000 eV per atom
1.0
3.5741 6.5663 0.0642
-3.5741 6.5663 0.0642
0.0000 4.6015 11.6240
Li Ti Cl
4 4 12
Direct
0.3382 0.3382 0.8749
0.8822 0.8822 0.3468
0.9504 0.9504 0.7015
0.4347 0.4347 0.1823
0.7083 0.7083 0.9729
0.4958 0.8852 0.1683
0.8852 0.4958 0.1683
0.1582 0.1582 0.4495
0.0289 0.5849 0.8108
0.5849 0.0289 0.8108
0.0733 0.0733 0.2987
0.3108 0.8360 0.5829
0.8360 0.3108 0.5829
0.3075 0.3075 0.0701
0.5335 0.0551 0.3097
0.0551 0.5335 0.3097
0.8105 0.3353 0.0600
0.3353 0.8105 0.0600
0.5552 0.5552 0.3077
0.8410 0.8410 0.0572

[7]
TiNi3I | the Alexandria database | PBE-GGA | optimized geometry; space-group type = Pm-3m; raw formation energy = 0.99 eV per atom; distance to the lowest polymorph of the same formula = 0.000 eV per atom
1.0
4.5096 0.0000 0.0000
0.0000 4.5096 0.0000
0.0000 0.0000 4.5096
I Ni Ti
1 3 1
Direct
0.5000 0.5000 0.5000
0.0000 0.5000 0.0000
0.0000 0.0000 0.5000
0.5000 0.0000 0.0000
0.0000 0.0000 0.0000

[8]
Pa2SiGe | the Alexandria database | PBE-GGA | optimized geometry; space-group type = P4/mmm; raw formation energy = -0.33 eV per atom; distance to the lowest polymorph of the same formula = 0.117 eV per atom
1.0
3.3594 0.0000 0.0000
0.0000 3.3594 0.0000
0.0000 0.0000 7.5649
Ge Pa Si
1 2 1
Direct
0.5000 0.5000 0.0000
0.0000 0.0000 0.7352
0.0000 0.0000 0.2648
0.5000 0.5000 0.5000

[9]
ErTm2Sc9 | the Alexandria database | PBE-GGA | optimized geometry; space-group type = P4/mmm; energy of formation = 0.0538 eV/atom; distance to the lowest polymorph of the same formula = 0.000 eV per atom
1.0
4.6933 0.0000 0.0000
0.0000 4.6933 0.0000
0.0000 0.0000 14.0832
Er Tm Sc
1 2 9
Direct
0.0000 0.0000 0.0000
0.0000 0.0000 0.3333
0.0000 0.0000 0.6667
0.5000 0.5000 0.0000
0.5000 0.5000 0.3335
0.5000 0.5000 0.6665
0.5000 0.0000 0.1669
0.5000 0.0000 0.5000
0.5000 0.0000 0.8331
0.0000 0.5000 0.1669
0.0000 0.5000 0.5000
0.0000 0.5000 0.8331

[10]
NdClO | the Alexandria database | PBE-GGA | optimized geometry; space-group type = Pnma; raw formation energy = -2.86 eV per atom
1.0
-3.5956 0.6406 -1.7195
2.1581 -3.2224 -5.7131
-3.2363 -8.5310 3.5893
O Nd Cl
4 4 4
Direct
0.2500 0.5453 0.0969
0.7500 0.4547 0.9031
0.7500 0.9547 0.5969
0.2500 0.0453 0.4031
0.2500 0.8124 0.5650
0.7500 0.1876 0.4350
0.7500 0.6876 0.0650
0.2500 0.3124 0.9350
0.2500 0.3891 0.6299
0.7500 0.6109 0.3701
0.7500 0.1109 0.1299
0.2500 0.8891 0.8701

[11]
K2SrPO4 | the Alexandria database | PBE-GGA | optimized geometry; space-group type = I-4; raw formation energy = -2.09 eV per atom
1.0
-3.6341 4.4288 -1.6681
-2.1618 -3.4081 4.3948
5.1133 1.8355 2.4674
K Sr P O
2 1 1 4
Direct
0.5000 0.7500 0.2500
0.0000 0.0000 0.0000
0.5000 0.2500 0.7500
0.0000 0.5000 0.5000
0.7299 0.4542 0.5179
0.0637 0.2758 0.5458
0.9363 0.4821 0.2120
0.2701 0.7880 0.7242

[12]
Ba2LiBiAs | the Alexandria database | PBE-GGA | optimized geometry; space-group type = P4/mmm; energy of formation = -0.7396 eV/atom
1.0
-3.5251 -0.2901 5.3164
-4.1990 -3.7688 -2.9899
2.4303 -3.8207 1.4029
As Li Bi Ba
1 1 1 2
Direct
0.0000 0.0000 0.0000
0.0000 0.0000 0.5000
0.5000 0.5000 0.5000
0.0000 0.5000 0.0000
0.5000 0.0000 0.0000

[13]
Zr2Mn2Nb | the Alexandria database | PBE-GGA | optimized geometry; space-group type = P4/mbm; energy of formation = 0.0218 eV/atom; distance to the lowest polymorph of the same formula = 0.000 eV per atom
1.0
-4.9396 3.0155 -2.5100
-3.9091 -3.4383 3.5623
0.2346 3.0448 3.1962
Nb Mn Zr
2 4 4
Direct
0.0000 0.0000 0.0000
0.5000 0.5000 0.0000
0.3826 0.8826 0.0000
0.8826 0.6174 0.0000
0.6174 0.1174 0.0000
0.1174 0.3826 0.0000
0.1806 0.6806 0.5000
0.6806 0.8194 0.5000
0.8194 0.3194 0.5000
0.3194 0.1806 0.5000

[14]
DyPaNiRu | the Alexandria database | PBE-GGA | optimized geometry; space-group type = Amm2; energy of formation = -0.5054 eV/atom; distance to the lowest polymorph of the same formula = 0.000 eV per atom
1.0
-2.1750 2.2344 1.9462
-3.0703 -0.9977 -2.2857
-0.1382 -5.3560 2.5237
Dy Pa Ni Ru
1 1 1 1
Direct
0.1432 0.0000 0.2864
0.8741 0.5000 0.7482
0.5783 0.5000 0.1566
0.4044 0.0000 0.8088

[15]
Ga2FeH6 | the Alexandria database | PBE-GGA | optimized geometry; raw total energy = -32.7 eV per cell; space-group type = Fm-3m
1.0
-0.6673 -4.4480 0.3921
0.8368 -2.7255 -3.5007
3.5313 -2.8105 0.1209
Ga Fe H
2 1 6
Direct
0.7500 0.7500 0.7500
0.2500 0.2500 0.2500
0.0000 0.0000 0.0000
0.2523 0.7477 0.7477
0.7477 0.7477 0.2523
0.7477 0.2523 0.7477
0.7477 0.2523 0.2523
0.2523 0.2523 0.7477
0.2523 0.7477 0.2523

[16]
Tb4CuPt | the Alexandria database | PBE-GGA | optimized geometry; space-group type = P2_1/c; energy of formation = -0.3967 eV/atom
1.0
6.9052 0.0000 0.0934
0.0000 6.9247 0.0000
-0.0087 0.0000 6.9745
Tb Cu Pt
8 2 2
Direct
0.8426 0.6569 0.1578
0.6574 0.1569 0.8422
0.3381 0.3416 0.3379
0.1619 0.8416 0.6621
0.1574 0.3431 0.8422
0.3426 0.8431 0.1578
0.6619 0.6584 0.6621
0.8381 0.1584 0.3379
0.5000 0.0000 0.5000
0.0000 0.5000 0.5000
0.0000 0.0000 0.0000
0.5000 0.5000 0.0000

[17]
K4Tm3HfSe8 | the Alexandria database | PBE-GGA | optimized geometry; space-group type = R-3m; raw formation energy = -1.62 eV per atom
1.0
-1.0768 6.5301 4.8154
-4.0421 -5.2085 6.1593
7.5411 -2.1695 -2.3273
K Tm Hf Se
4 3 1 8
Direct
0.5000 0.0000 0.0000
0.5000 0.0000 0.5000
0.0000 0.0000 0.0000
0.0000 0.0000 0.5000
0.5000 0.5000 0.0000
0.5000 0.5000 0.5000
0.0000 0.5000 0.5000
0.0000 0.5000 0.0000
0.2280 0.7012 0.9733
0.2280 0.7012 0.4560
0.2648 0.2946 0.5296
0.7454 0.7012 0.9733
0.2546 0.2988 0.0267
0.7352 0.7054 0.4704
0.7720 0.2988 0.5440
0.7720 0.2988 0.0267

[18]
MnAuSe2 | the Alexandria database | PBE-GGA | optimized geometry; space-group type = Pm; raw formation energy = -0.15 eV per atom
1.0
-3.0544 -2.4455 1.3495
1.0653 -2.8735 -2.7963
3.7091 -2.6812 3.5362
Au Mn Se
1 1 2
Direct
0.0000 0.3779 0.6259
0.5000 0.8736 0.6242
0.0000 0.8490 0.8976
0.5000 0.3995 0.3523

[19]
Tb2AlCo12B3 | the Alexandria database | PBE-GGA | optimized geometry; space-group type = R-3m; energy of formation = 0.1438 eV/atom
1.0
6.8031 -0.0659 -0.0468
3.3024 5.9482 -0.0468
3.3024 1.9223 5.6292
Tb Al Co B
2 1 12 3
Direct
0.5888 0.5888 0.5888
0.4112 0.4112 0.4112
0.0000 0.0000 0.0000
0.2597 0.2597 0.8846
0.8445 0.8445 0.4672
0.4672 0.8445 0.8445
0.8846 0.2597 0.2597
0.8445 0.4672 0.8445
0.2597 0.8846 0.2597
0.7403 0.7403 0.1154
0.1555 0.1555 0.5328
0.5328 0.1555 0.1555
0.1154 0.7403 0.7403
0.1555 0.5328 0.1555
0.7403 0.1154 0.7403
0.5000 0.0000 0.0000
0.0000 0.5000 0.0000
0.0000 0.0000 0.5000

[20]
FeSbAsBr2 | the Alexandria database | PBE-GGA | optimized geometry; space-group type = P4/mmm; raw formation energy = 0.36 eV per atom; distance to the lowest polymorph of the same formula = 0.000 eV per atom
1.0
4.8606 0.0000 0.0000
0.0000 4.8606 0.0000
0.0000 0.0000 4.7219
Sb As Fe Br
1 1 1 2
Direct
0.5000 0.5000 0.5000
0.0000 0.0000 0.5000
0.0000 0.0000 0.0000
0.0000 0.5000 0.0000
0.5000 0.0000 0.0000

[21]
InPd2Cl | the Alexandria database | PBE-GGA | optimized geometry; space-group type = Fm-3m; raw formation energy = -0.15 eV per atom; distance to the lowest polymorph of the same formula = 0.000 eV per atom
1.0
-2.6649 -1.6116 3.4689
-0.4548 2.4671 3.9292
-4.0514 2.0837 0.9881
Cl Pd In
1 2 1
Direct
0.0000 0.0000 0.0000
0.2500 0.2500 0.2500
0.7500 0.7500 0.7500
0.5000 0.5000 0.5000

[22]
AlTlSN2 | the Alexandria database | PBE-GGA | optimized geometry; space-group type = P4/mmm; raw formation energy = 0.61 eV per atom; distance to the lowest polymorph of the same formula = 0.000 eV per atom
1.0
-0.0351 1.7354 3.3583
0.6647 -3.3033 1.7139
5.4347 0.8856 -0.4008
Tl N S Al
1 2 1 1
Direct
0.5000 0.5000 0.5000
0.0000 0.5000 0.0000
0.5000 0.0000 0.0000
0.0000 0.0000 0.5000
0.0000 0.0000 0.0000

[23]
AgWAu2 | the Alexandria database | PBE-GGA | optimized geometry; space-group type = R-3m; energy of formation = 0.2694 eV/atom; distance to the lowest polymorph of the same formula = 0.040 eV per atom
1.0
9.5536 -0.0368 -0.0216
9.1199 2.8461 -0.0216
9.1199 1.3720 2.4936
Au Ag W
2 1 1
Direct
0.9980 0.9980 0.9980
0.5020 0.5020 0.5020
0.7500 0.7500 0.7500
0.2500 0.2500 0.2500

[24]
Ac3Tb4Pm2 | the Alexandria database | PBE-GGA | optimized geometry; space-group type = C2/m; energy of formation = 0.0499 eV/atom
1.0
-2.5519 -0.9832 2.5859
-5.4431 -3.1940 -6.5858
5.5394 -8.0453 -0.3313
Ac Tb Pm
3 4 2
Direct
0.8874 0.3357 0.7749
0.1126 0.6643 0.2251
0.0000 0.0000 0.0000
0.7805 0.6643 0.5609
0.2195 0.3357 0.4391
0.4406 0.6681 0.8813
0.5594 0.3319 0.1187
0.6703 0.0043 0.3406
0.3297 0.9957 0.6594

| no. | total moment (μB/f.u.) |
| --- | --- |
| 1 | 0.000 |
| 2 | 0.000 |
| 3 | 0.000 |
| 4 | 0.000 |
| 5 | 0.000 |
| 6 | 0.372 |
| 7 | 0.000 |
| 8 | 0.000 |
| 9 | 0.000 |
| 10 | 0.000 |
| 11 | 0.000 |
| 12 | 0.000 |
| 13 | 0.000 |
| 14 | 0.000 |
| 15 | 0.000 |
| 16 | 0.000 |
| 17 | 0.000 |
| 18 | 3.995 |
| 19 | 10.597 |
| 20 | 1.912 |
| 21 | 0.000 |
| 22 | 0.852 |
| 23 | 0.000 |
| 24 | 0.000 |